# 1
This record from Alexandria via LeMat-Bulk describes a geometry-optimized TbNd2HoTm4 structure. The functional is GGA-PBE.

Calculated values
Fermi-level density of states	18.134	states/eV/f.u.
calculated formation energy	0.43	eV per atom
size of the total moment	2.26	μB/f.u.
crystal system	orthorhombic

Structure (POSCAR):
```
TbNd2HoTm4
1.0
-2.532 -9.035 1.308
6.772 -1.207 6.514
-6.929 9.347 -1.669
Tb Nd Ho Tm
2 4 2 8
Direct
0.000 0.500 0.000
0.000 0.500 0.500
0.500 0.000 0.000
0.500 0.000 0.500
0.000 0.000 0.500
0.500 0.500 0.000
0.500 0.500 0.500
0.000 0.000 0.000
0.246 0.753 0.000
0.747 0.254 0.500
0.253 0.746 0.500
0.754 0.247 0.000
0.751 0.749 0.996
0.751 0.749 0.504
0.249 0.251 0.496
0.249 0.251 0.004
```

# 2
This record from Alexandria via LeMat-Bulk describes a geometry-optimized HgRuW2 structure. The functional is GGA-PBE.

Calculated values
Fermi-level density of states	5.364	states/eV/f.u.
calculated formation energy	0.61	eV per atom
size of the total moment	0.00	μB/f.u.
crystal system	tetragonal

Structure (POSCAR):
```
HgRuW2
1.0
-3.455 3.464 -0.423
-4.295 -1.903 1.428
4.395 0.067 2.190
Hg Ru W
1 1 2
Direct
0.500 0.500 0.000
0.750 0.250 0.500
0.000 0.000 0.000
0.250 0.750 0.500
```

size of the total moment of number 1 (TbNd2HoTm4)? 2.26 μB/f.u.

What is the formula in the second record? HgRuW2